1.
HoEr2AlS6 | PBE-GGA | relaxed

Geometry as POSCAR:
```
HoEr2AlS6
1.0
3.3384 1.9274 5.9306
-3.3384 1.9274 5.9306
0.0000 -3.8549 5.9306
Ho Er Al S
1 2 1 6
Cartesian
0.0000 0.0000 0.0000
0.0000 0.0000 5.2472
0.0000 0.0000 14.1962
0.0000 0.0000 8.8146
-1.9203 0.0750 7.2187
-1.2330 -1.7149 10.0575
0.8952 -1.7005 7.2187
-0.8687 1.9252 10.0575
1.0251 1.6255 7.2187
2.1017 -0.2103 10.0575
```

As for the space group: R3. The formation energy (no corrections) is -1753 meV per atom. The calculation puts the spin magnetization at 0.00 μB per formula unit.

---

2.
HoErScAl | PBE-GGA | relaxed

Geometry as POSCAR:
```
HoErScAl
1.0
4.5608 0.0000 0.0000
0.0000 4.6622 0.0000
0.0000 0.0000 4.6623
Ho Er Sc Al
1 1 1 1
Cartesian
0.0000 0.0000 0.0000
0.0000 2.3311 2.3311
2.2804 0.0000 2.3311
2.2804 2.3311 0.0000
```

The polymorph energy (0 for the lowest one) is 0.000 eV per atom. As for the space group: Pmmm. Its energy of formation from the pure elements is -0.201 eV per atom. The calculation puts the spin magnetization at 0.00 μB per formula unit.

---

3.
HoErScAl | PBE-GGA | relaxed

Geometry as POSCAR:
```
HoErScAl
1.0
0.0000 3.6791 3.6791
3.6791 0.0000 3.6791
3.6791 3.6791 0.0000
Ho Er Sc Al
1 1 1 1
Cartesian
0.0000 0.0000 0.0000
3.6791 3.6791 3.6791
5.5186 5.5186 5.5186
1.8395 1.8395 1.8395
```

The polymorph energy (0 for the lowest one) is 0.093 eV per atom. As for the space group: F-43m. Its energy of formation from the pure elements is -0.108 eV per atom. The calculation puts the spin magnetization at 0.09 μB per formula unit.

---

4.
HoErAlSi | PBE-GGA | relaxed

Geometry as POSCAR:
```
HoErAlSi
1.0
3.9611 0.0000 0.0000
0.0000 2.1538 5.3676
0.0000 -2.1538 5.3676
Ho Er Al Si
1 1 1 1
Cartesian
0.0000 0.0000 0.0000
1.9806 0.0000 3.0352
0.0000 0.0000 7.6604
1.9806 0.0000 6.0600
```

As for the space group: Amm2. The formation energy (no corrections) is -646 meV per atom. The calculation puts the spin magnetization at 0.00 μB per formula unit.

---

- Number 3 is which compound?
  HoErScAl

---

- Number 3 is which compound?
  HoErScAl

---

- Which value of spin magnetization does entry 1 give?
  0.00 μB per formula unit